A relaxed K3BeAg crystal. Source: Alexandria, functional PBE-GGA.

Cell: 6.237 6.237 6.237 Å, 90.00 90.00 90.00°
Positions (direct):
K  0.000  0.500  0.000
K  0.500  0.000  0.000
Be  0.000  0.000  0.000
K  0.000  0.000  0.500
Ag  0.500  0.500  0.500

Computed properties:
Relative energy among the computed polymorphs: 0.0000 eV/atom
Volume: 242.6 Å³ per cell
Calculated density: 1.60 g/cm3
Energy of formation: 0.66 eV/atom
E: -0.048 Ha/atom
Magnetic moment: 0.00 μB per cell
Symmetry: Pm-3m (221)

***

A relaxed KBe2Ag2 crystal. Source: Alexandria, functional PBE-GGA.

Cell: 7.923 7.923 2.759 Å, 90.00 90.00 90.00°
Positions (direct):
K  0.000  0.000  0.000
Ag  0.670  0.170  0.000
Ag  0.830  0.670  0.000
Be  0.396  0.104  0.500
K  0.500  0.500  0.000
Be  0.896  0.396  0.500
Be  0.104  0.604  0.500
Ag  0.170  0.330  0.000
Ag  0.330  0.830  0.000
Be  0.604  0.896  0.500

Computed properties:
Relative energy among the computed polymorphs: 0.0122 eV/atom
Volume: 173.2 Å³ per cell
Calculated density: 5.23 g/cm3
Energy of formation: 0.41 eV/atom
E: -0.090 Ha/atom
Magnetic moment: 0.00 μB per cell
Symmetry: P4/mbm (127)

***

A relaxed KBeAg crystal. Source: Alexandria, functional PBE-GGA.

Cell: 6.592 6.593 3.364 Å, 75.21 75.20 29.57°
Positions (direct):
Be  0.403  0.403  0.597
Ag  0.933  0.933  0.067
K  0.665  0.665  0.335

Computed properties:
Relative energy among the computed polymorphs: 0.0000 eV/atom
Volume: 69.6 Å³ per cell
Calculated density: 3.72 g/cm3
Energy of formation: 0.37 eV/atom
E: -0.081 Ha/atom
Magnetic moment: 0.00 μB per cell
Symmetry: I4mm (107)

***

A relaxed K2BeAg2 crystal. Source: Alexandria, functional PBE-GGA.

Cell: 6.683 6.683 5.752 Å, 90.00 90.00 90.00°
Positions (direct):
Ag  0.160  0.340  0.000
K  0.175  0.675  0.500
K  0.675  0.825  0.500
K  0.325  0.175  0.500
Ag  0.840  0.660  0.000
Ag  0.660  0.160  0.000
Be  0.500  0.500  0.000
Ag  0.340  0.840  0.000
Be  0.000  0.000  0.000
K  0.825  0.325  0.500

Computed properties:
Volume: 256.9 Å³ per cell
Calculated density: 3.92 g/cm3
Energy of formation: 0.35 eV/atom
E: -0.072 Ha/atom
Magnetic moment: 0.00 μB per cell
Symmetry: P4/mbm (127)

***

A relaxed KBe2Ag2 crystal. Source: Alexandria, functional PBE-GGA.

Cell: 4.598 4.598 6.834 Å, 70.34 70.34 90.00°
Positions (direct):
Be  0.750  0.250  0.500
K  0.000  0.000  0.000
Be  0.250  0.750  0.500
Ag  0.274  0.274  0.452
Ag  0.726  0.726  0.548

Computed properties:
Relative energy among the computed polymorphs: 0.0000 eV/atom
Volume: 127.1 Å³ per cell
Calculated density: 3.57 g/cm3
Energy of formation: 0.40 eV/atom
E: -0.090 Ha/atom
Magnetic moment: 0.00 μB per cell
Symmetry: I4/mmm (139)

***

A relaxed KBeAg crystal. Source: Alexandria, functional PBE-GGA.

Cell: 4.858 4.858 4.858 Å, 60.00 60.00 60.00°
Positions (direct):
Ag  0.500  0.500  0.500
K  0.000  0.000  0.000
Be  0.250  0.250  0.250

Computed properties:
Relative energy among the computed polymorphs: 0.4637 eV/atom
Volume: 81.1 Å³ per cell
Calculated density: 3.19 g/cm3
Energy of formation: 0.83 eV/atom
E: -0.063 Ha/atom
Magnetic moment: 0.00 μB per cell
Symmetry: F-43m (216)